1.
A plane-wave DFT calculation with GGA-PBE was carried out for crystalline Li2TlPtN at its relaxed geometry.

Lattice parameters (Å, degrees): 4.4522 4.4522 3.8738 90.00 90.00 90.00
Space group P4/mmm (No. 123)
Unique sites:
Li (0.0000, 0.5000, 0.0000) [2 per cell]
Tl (0.0000, 0.0000, 0.5000) [1 per cell]
Pt (0.5000, 0.5000, 0.5000) [1 per cell]
N (0.5000, 0.5000, 0.0000) [1 per cell]

## Properties
Uncorrected energy   -21.79 eV for the cell shown

2.
A plane-wave DFT calculation with GGA-PBE was carried out for crystalline BeZn2Cd at its relaxed geometry.

Lattice parameters (Å, degrees): 8.3427 2.7298 6.3906 90.00 111.71 90.00
Space group Cm (No. 8)
Unique sites:
Be (0.0000, 0.0000, 0.0000) [2 per cell]
Zn (0.0268, 0.5000, 0.3231) [2 per cell]
Zn (0.2428, 0.5000, 0.0853) [2 per cell]
Cd (0.2833, 0.0000, 0.6698) [2 per cell]

## Properties
DFT formation energy   21 kJ/mol of atoms

3.
A plane-wave DFT calculation with GGA-PBE was carried out for crystalline Y3HfSc at its relaxed geometry.

Lattice parameters (Å, degrees): 5.5391 5.5391 5.5391 90.00 90.00 90.00
Space group Pm-3m (No. 221)
Unique sites:
Y (0.0000, 0.0000, 0.5000) [3 per cell]
Hf (0.0000, 0.0000, 0.0000) [1 per cell]
Sc (0.5000, 0.5000, 0.5000) [1 per cell]

## Properties
DFT formation energy   71 kJ/mol of atoms

4.
A plane-wave DFT calculation with GGA-PBE was carried out for crystalline Zn4FePt15 at its relaxed geometry.

Lattice parameters (Å, degrees): 3.9216 3.9216 19.7065 90.00 90.00 90.00
Space group P4/mmm (No. 123)
Unique sites:
Zn (0.0000, 0.0000, 0.1003) [2 per cell]
Zn (0.0000, 0.0000, 0.3001) [2 per cell]
Fe (0.0000, 0.0000, 0.5000) [1 per cell]
Pt (0.0000, 0.5000, 0.0000) [2 per cell]
Pt (0.0000, 0.5000, 0.2008) [4 per cell]
Pt (0.0000, 0.5000, 0.4022) [4 per cell]
Pt (0.5000, 0.5000, 0.1005) [2 per cell]
Pt (0.5000, 0.5000, 0.3015) [2 per cell]
Pt (0.5000, 0.5000, 0.5000) [1 per cell]

## Properties
DFT formation energy   -30 kJ/mol of atoms

5.
A plane-wave DFT calculation with GGA-PBE was carried out for crystalline BeCoBr4 at its relaxed geometry.

Lattice parameters (Å, degrees): 8.7970 8.7970 8.7970 90.00 90.00 90.00
Space group F-43m (No. 216)
Unique sites:
Be (0.0000, 0.0000, 0.0000) [4 per cell]
Co (0.2500, 0.2500, 0.2500) [4 per cell]
Br (0.1244, 0.1244, 0.6244) [16 per cell]

## Properties
Uncorrected energy   -36.65 eV for the cell shown

6.
A plane-wave DFT calculation with GGA-PBE was carried out for crystalline Pm3NpSe6 at its relaxed geometry.

Lattice parameters (Å, degrees): 11.3387 14.1400 7.2786 90.00 90.00 90.00
Space group Cmc2_1 (No. 36)
Unique sites:
Pm (0.0000, 0.0962, 0.0000) [4 per cell]
Pm (0.1896, 0.3943, 0.1084) [8 per cell]
Np (0.0000, 0.3358, 0.6158) [4 per cell]
Se (0.0000, 0.2692, 0.2495) [4 per cell]
Se (0.0000, 0.4930, 0.8750) [4 per cell]
Se (0.1653, 0.0331, 0.2976) [8 per cell]
Se (0.1674, 0.2359, 0.8234) [8 per cell]

## Properties
Uncorrected energy   -256.98 eV for the cell shown

7.
A plane-wave DFT calculation with GGA-PBE was carried out for crystalline La4Pm3Y2 at its relaxed geometry.

Lattice parameters (Å, degrees): 3.6583 3.6583 27.4730 90.00 90.00 120.00
Space group P3m1 (No. 156)
Unique sites:
La (0.0000, 0.0000, 0.0000) [1 per cell]
La (0.0000, 0.0000, 0.2203) [1 per cell]
La (0.3333, 0.6667, 0.3346) [1 per cell]
La (0.3333, 0.6667, 0.5565) [1 per cell]
Pm (0.0000, 0.0000, 0.4447) [1 per cell]
Pm (0.3333, 0.6667, 0.1084) [1 per cell]
Pm (0.3333, 0.6667, 0.7716) [1 per cell]
Y (0.0000, 0.0000, 0.6649) [1 per cell]
Y (0.0000, 0.0000, 0.8749) [1 per cell]

## Properties
DFT formation energy   6 kJ/mol of atoms

8.
A plane-wave DFT calculation with GGA-PBE was carried out for crystalline Tb2DyHoS4 at its relaxed geometry.

Lattice parameters (Å, degrees): 6.7813 3.8775 6.8058 90.00 109.08 90.00
Space group P2/m (No. 10)
Unique sites:
Tb (0.0000, 0.0000, 0.0000) [1 per cell]
Tb (0.5000, 0.5000, 0.0000) [1 per cell]
Dy (0.0000, 0.5000, 0.5000) [1 per cell]
Ho (0.5000, 0.0000, 0.5000) [1 per cell]
S (0.2499, 0.0000, 0.7471) [2 per cell]
S (0.2521, 0.5000, 0.2535) [2 per cell]

## Properties
Uncorrected energy   -50.91 eV for the cell shown

9.
A plane-wave DFT calculation with GGA-PBE was carried out for crystalline Nd3Er2In4 at its relaxed geometry.

Lattice parameters (Å, degrees): 7.1656 15.3348 10.1378 90.00 90.00 90.00
Space group Cmce (No. 64)
Unique sites:
Nd (0.0000, 0.0000, 0.0000) [4 per cell]
Nd (0.2500, 0.2294, 0.2500) [8 per cell]
Er (0.0000, 0.1034, 0.5293) [8 per cell]
In (0.0000, 0.1981, 0.9883) [8 per cell]
In (0.2500, 0.0047, 0.2500) [8 per cell]

## Properties
DFT formation energy   -22 kJ/mol of atoms

10.
A plane-wave DFT calculation with GGA-PBE was carried out for crystalline LiTc2P at its relaxed geometry.

Lattice parameters (Å, degrees): 2.8083 2.8083 25.4009 90.00 90.00 120.00
Space group R3m (No. 160, hexagonal axes)
Unique sites:
Li (0.0000, 0.0000, 0.0000) [3 per cell]
Tc (0.0000, 0.0000, 0.5115) [3 per cell]
Tc (0.0000, 0.0000, 0.7599) [3 per cell]
P (0.0000, 0.0000, 0.2497) [3 per cell]

## Properties
DFT formation energy   -4 kJ/mol of atoms

11.
A plane-wave DFT calculation with GGA-PBE was carried out for crystalline CdAsP2 at its relaxed geometry.

Lattice parameters (Å, degrees): 3.6313 3.6313 6.2163 90.00 90.00 90.00
Space group P4mm (No. 99)
Unique sites:
Cd (0.0000, 0.0000, 0.0000) [1 per cell]
As (0.5000, 0.5000, 0.4994) [1 per cell]
P (0.0000, 0.0000, 0.5790) [1 per cell]
P (0.5000, 0.5000, 0.1270) [1 per cell]

## Properties
DFT formation energy   14 kJ/mol of atoms

12.
A plane-wave DFT calculation with GGA-PBE was carried out for crystalline PmCuSe2 at its relaxed geometry.

Lattice parameters (Å, degrees): 4.4103 4.4103 22.5737 90.00 90.00 120.00
Space group R-3m (No. 166, hexagonal axes)
Unique sites:
Pm (0.0000, 0.0000, 0.0000) [3 per cell]
Cu (0.0000, 0.0000, 0.5000) [3 per cell]
Se (0.0000, 0.0000, 0.4000) [6 per cell]

## Properties
Uncorrected energy   -60.75 eV for the cell shown

Please write out number 6 again, unchanged.
A plane-wave DFT calculation with GGA-PBE was carried out for crystalline Pm3NpSe6 at its relaxed geometry.

Lattice parameters (Å, degrees): 11.3387 14.1400 7.2786 90.00 90.00 90.00
Space group Cmc2_1 (No. 36)
Unique sites:
Pm (0.0000, 0.0962, 0.0000) [4 per cell]
Pm (0.1896, 0.3943, 0.1084) [8 per cell]
Np (0.0000, 0.3358, 0.6158) [4 per cell]
Se (0.0000, 0.2692, 0.2495) [4 per cell]
Se (0.0000, 0.4930, 0.8750) [4 per cell]
Se (0.1653, 0.0331, 0.2976) [8 per cell]
Se (0.1674, 0.2359, 0.8234) [8 per cell]

## Properties
Uncorrected energy   -256.98 eV for the cell shown